[1]
Computed, not measured: AcLa2Dy2Tm2 after structural relaxation at the GGA-PBE level of DFT.

* spin magnetization: 0.00 μB/f.u.
* DFT formation energy: 50 meV/atom
* crystal system: monoclinic
* E_tot: -4.537 eV per atom
* theoretical density: 8.0 g/cm³

Cell lengths 11.603, 5.192, 8.108 Å; angles 90.00, 98.56, 90.00 degrees
Space group C2/m (No. 12)
One atom of each set of equivalent atoms:
Ac 0.000 0.000 0.000
La 0.215 0.500 0.153
Dy 0.075 0.500 0.703
Tm 0.141 0.000 0.432

---

[2]
Computed, not measured: AcLa2DyTm after structural relaxation at the GGA-PBE level of DFT.

* spin magnetization: 0.00 μB/f.u.
* DFT formation energy: 383 meV/atom
* crystal system: orthorhombic
* E_tot: -4.224 eV per atom
* theoretical density: 7.4 g/cm³

Cell lengths 6.577, 17.510, 6.534 Å; angles 90.00, 90.00, 90.00 degrees
Space group Cmcm (No. 63)
One atom of each set of equivalent atoms:
Ac 0.000 0.159 0.250
La 0.245 0.500 0.000
Dy 0.000 0.345 0.250
Tm 0.000 0.256 0.750

---

[3]
Computed, not measured: AcLaDy3Tm after structural relaxation at the GGA-PBE level of DFT.

* spin magnetization: 0.00 μB/f.u.
* DFT formation energy: 214 meV/atom
* crystal system: monoclinic
* E_tot: -4.338 eV per atom
* theoretical density: 8.0 g/cm³

Cell lengths 19.410, 5.722, 7.600 Å; angles 90.00, 91.54, 90.00 degrees
Space group C2/m (No. 12)
One atom of each set of equivalent atoms:
Ac 0.142 0.000 0.024
La 0.046 0.500 0.279
Dy 0.025 0.000 0.705
Dy 0.167 0.500 0.716
Dy 0.219 0.500 0.248
Tm 0.155 0.000 0.455

---

[4]
Computed, not measured: AcLa3DyTm after structural relaxation at the GGA-PBE level of DFT.

* spin magnetization: 0.00 μB/f.u.
* DFT formation energy: 43 meV/atom
* crystal system: monoclinic
* E_tot: -4.617 eV per atom
* theoretical density: 7.4 g/cm³

Cell lengths 8.188, 5.300, 10.595 Å; angles 90.00, 108.95, 90.00 degrees
Space group P2_1/m (No. 11)
One atom of each set of equivalent atoms:
Ac 0.174 0.250 0.294
La 0.173 0.750 0.041
La 0.173 0.750 0.545
La 0.176 0.250 0.793
Dy 0.498 0.750 0.876
Tm 0.498 0.250 0.627